The following is a PBE-GGA calculation of a relaxed InAgNO crystal, from the Open Quantum Materials Database.

Cell: 3.362 6.396 5.941 Å, 90.00 90.00 90.00°
Fractional positions:
1 In 0.000 0.158 0.000
2 In 0.000 0.842 0.500
3 Ag 0.500 0.326 0.475
4 Ag 0.500 0.674 0.975
5 N 0.000 0.152 0.361
6 N 0.000 0.848 0.861
7 O 0.500 0.323 0.888
8 O 0.500 0.677 0.388

Results
Its volume is 128 Å³ per cell. The symmetry is Pmc2_1 (26). The calculated total energy comes out at -4.665 eV per atom. As for the crystal system: orthorhombic.

The following is a PBE-GGA calculation of a relaxed FeHgGeOs crystal, from the Open Quantum Materials Database.

Cell: 4.528 4.528 4.528 Å, 60.00 60.00 60.00°
Fractional positions:
1 Fe 0.000 0.000 0.000
2 Hg 0.500 0.500 0.500
3 Ge 0.750 0.750 0.750
4 Os 0.250 0.250 0.250

Results
Its volume is 66 Å³ per cell. The symmetry is F-43m (216). The calculated total energy comes out at -5.252 eV per atom. As for the crystal system: cubic.

The following is a PBE-GGA calculation of a relaxed CsNbPt crystal, from the Open Quantum Materials Database.

Cell: 4.711 4.711 4.711 Å, 60.00 60.00 60.00°
Fractional positions:
1 Cs 0.000 0.000 0.000
2 Nb 0.750 0.750 0.750
3 Pt 0.250 0.250 0.250

Results
Its volume is 74 Å³ per cell. The symmetry is F-43m (216). The calculated total energy comes out at -3.629 eV per atom. As for the crystal system: cubic.

> What is the calculated total energy in the first record?

-4.665 eV per atom

> Which of these has the highest volume?

InAgNO